#1
Density functional theory data (PBE-GGA) for ReIrS2 after structural relaxation.

## Properties
As for the spin magnetization: 0.000 μB per formula unit.

```
ReIrS2
1.0
0.0000 3.0203 3.0203
3.0203 0.0000 3.0203
3.0203 3.0203 0.0000
Ir S Re
1 2 1
Cartesian
3.0203 3.0203 3.0203
1.5101 1.5101 1.5101
4.5304 4.5304 4.5304
0.0000 0.0000 0.0000
```

---

#2
Density functional theory data (PBE-GGA) for ReIrS2 after structural relaxation.

## Properties
As for the spin magnetization: 0.000 μB per formula unit.

```
ReIrS2
1.0
-7.8308 1.6658 -0.4848
-7.3785 1.9296 2.4829
-6.7724 4.2471 0.6544
S Ir Re
2 1 1
Cartesian
-19.8754 7.0910 2.3984
-2.1063 0.7515 0.2542
0.0000 0.0000 0.0000
-10.9908 3.9213 1.3263
```

---

#3
Density functional theory data (PBE-GGA) for ReIrS2 after structural relaxation.

## Properties
As for the spin magnetization: 0.000 μB per formula unit.

```
ReIrS2
1.0
5.2684 0.0000 0.0000
0.0000 5.2684 0.0000
2.6342 2.6342 5.2203
S Ir Re
4 2 2
Cartesian
6.5855 6.5617 3.9152
3.9275 1.3171 1.3051
3.9513 3.9751 3.9152
1.3409 3.9513 1.3051
5.2684 2.6342 2.6102
0.0000 0.0000 0.0000
2.6342 5.2684 2.6102
2.6342 2.6342 0.0000
```

---

Referenced to the most stable arrangement, the calculated values in kJ/mol of atoms are #1 50.2; #2 0.0; #3 12.3.

---

#1
Density functional theory data (PBE-GGA) for ReIr3S after structural relaxation.

## Properties
As for the spin magnetization: 3.860 μB per formula unit.

```
ReIr3S
1.0
4.3773 0.0000 0.0000
0.0000 4.3773 0.0000
0.0000 0.0000 4.3773
S Re Ir
1 1 3
Cartesian
0.0000 0.0000 0.0000
2.1886 2.1886 2.1886
0.0000 0.0000 2.1886
2.1886 0.0000 0.0000
0.0000 2.1886 0.0000
```

---

#2
Density functional theory data (PBE-GGA) for ReIr3S after structural relaxation.

## Properties
As for the spin magnetization: 0.000 μB per formula unit.

```
ReIr3S
1.0
4.7462 0.0000 0.0000
0.0000 4.7462 0.0000
0.0000 0.0000 4.7462
Ir S Re
3 1 1
Cartesian
0.0000 0.0000 2.3731
2.3731 0.0000 0.0000
0.0000 2.3731 0.0000
2.3731 2.3731 2.3731
0.0000 0.0000 0.0000
```

---

Referenced to the most stable arrangement, the calculated values in kJ/mol of atoms are #1 0.0; #2 68.9.

---

#1
Density functional theory data (PBE-GGA) for ReSb2Ir after structural relaxation.

## Properties
As for the spin magnetization: 0.000 μB per formula unit.

```
ReSb2Ir
1.0
-1.8351 -3.5218 2.4876
-4.2942 -1.5867 -1.0005
-0.5400 -4.2214 -1.9612
Sb Ir Re
2 1 1
Cartesian
-5.0020 -6.9974 -0.3556
-1.6673 -2.3325 -0.1185
-3.3347 -4.6649 -0.2371
0.0000 0.0000 0.0000
```

---

#2
Density functional theory data (PBE-GGA) for ReSb2Ir after structural relaxation.

## Properties
As for the spin magnetization: 0.000 μB per formula unit.

```
ReSb2Ir
1.0
3.2448 0.0000 0.0000
0.0000 4.1246 0.0000
0.0000 0.0000 5.5713
Sb Ir Re
2 1 1
Cartesian
0.0000 0.0000 5.2651
1.6224 2.0623 1.6982
0.0000 0.0000 2.5370
1.6224 2.0623 4.4281
```

---

Referenced to the most stable arrangement, the calculated values in kJ/mol of atoms are #1 13.4; #2 0.0.

---

#1
Density functional theory data (PBE-GGA) for ReSb2Ir after structural relaxation.

## Properties
As for the spin magnetization: 0.000 μB per formula unit.

```
ReSb2Ir
1.0
8.4846 0.0088 0.0052
7.8743 3.1599 0.0052
7.8743 1.5252 2.7674
Sb Re Ir
2 1 1
Cartesian
12.0997 2.3437 1.3870
0.0169 0.0033 0.0019
18.1749 3.5204 2.0834
6.0583 1.1735 0.6945
```

---

#2
Density functional theory data (PBE-GGA) for ReSb2Ir after structural relaxation.

## Properties
As for the spin magnetization: 0.000 μB per formula unit.

```
ReSb2Ir
1.0
-1.4058 3.5981 -2.7738
-3.7269 -0.5507 -2.9024
-4.0841 2.2564 0.9199
Ir Sb Re
1 2 1
Cartesian
-4.6084 2.6519 -2.3781
0.0000 0.0000 0.0000
-2.3042 1.3260 -1.1891
-6.9126 3.9779 -3.5672
```

---

Referenced to the most stable arrangement, the calculated values in kJ/mol of atoms are #1 0.0; #2 46.2.